(1)
Computed, not measured: a geometry-optimized CsPrNp structure at the GGA-PBE level of DFT.

a = 5.7614 Å, b = 5.7614 Å, c = 5.7614 Å
α = 60.00°, β = 60.00°, γ = 60.00°
Closest atoms and distances in Å follow each position.
Fractional coordinates of all 3 atoms:
Cs (0.0000, 0.0000, 0.0000)  4 Pr 3.53
Pr (0.2500, 0.2500, 0.2500)  4 Np 3.53, 4 Cs 3.53
Np (0.5000, 0.5000, 0.5000)  4 Pr 3.53

Properties
- SG: F-43m (216)

(2)
Computed, not measured: a geometry-optimized CsPrNp structure at the GGA-PBE level of DFT.

a = 6.2050 Å, b = 6.2050 Å, c = 6.2050 Å
α = 60.00°, β = 60.00°, γ = 60.00°
Closest atoms and distances in Å follow each position.
Fractional coordinates of all 3 atoms:
Cs (0.0000, 0.0000, 0.0000)  4 Np 3.80, 4 Pr 3.80
Pr (0.2500, 0.2500, 0.2500)  4 Cs 3.80
Np (0.7500, 0.7500, 0.7500)  4 Cs 3.80

Properties
- SG: F-43m (216)

Bottom line: (1), by a margin of 76.1 kJ/mol of atoms.

(1)
Computed, not measured: a geometry-optimized CsSmNp structure at the GGA-PBE level of DFT.

a = 5.8770 Å, b = 5.8770 Å, c = 5.8770 Å
α = 60.00°, β = 60.00°, γ = 60.00°
Closest atoms and distances in Å follow each position.
Fractional coordinates of all 3 atoms:
Cs (0.0000, 0.0000, 0.0000)  4 Sm 3.60
Sm (0.2500, 0.2500, 0.2500)  4 Np 3.60, 4 Cs 3.60
Np (0.5000, 0.5000, 0.5000)  4 Sm 3.60

Properties
- SG: F-43m (216)

(2)
Computed, not measured: a geometry-optimized CsSmNp structure at the GGA-PBE level of DFT.

a = 5.4429 Å, b = 5.4429 Å, c = 5.4429 Å
α = 60.00°, β = 60.00°, γ = 60.00°
Closest atoms and distances in Å follow each position.
Fractional coordinates of all 3 atoms:
Cs (0.0000, 0.0000, 0.0000)  4 Np 3.33, 4 Sm 3.33
Sm (0.7500, 0.7500, 0.7500)  4 Cs 3.33
Np (0.2500, 0.2500, 0.2500)  4 Cs 3.33

Properties
- SG: F-43m (216)

Bottom line: (1), by a margin of 6.5 kJ/mol of atoms.

(1)
Computed, not measured: a geometry-optimized CsTmNp structure at the GGA-PBE level of DFT.

a = 5.8873 Å, b = 5.8873 Å, c = 5.8873 Å
α = 60.00°, β = 60.00°, γ = 60.00°
Closest atoms and distances in Å follow each position.
Fractional coordinates of all 3 atoms:
Cs (0.0000, 0.0000, 0.0000)  4 Tm 3.61
Tm (0.2500, 0.2500, 0.2500)  4 Np 3.61, 4 Cs 3.61
Np (0.5000, 0.5000, 0.5000)  4 Tm 3.61

Properties
- SG: F-43m (216)

(2)
Computed, not measured: a geometry-optimized CsTmNp structure at the GGA-PBE level of DFT.

a = 5.4164 Å, b = 5.4164 Å, c = 5.4164 Å
α = 60.00°, β = 60.00°, γ = 60.00°
Closest atoms and distances in Å follow each position.
Fractional coordinates of all 3 atoms:
Cs (0.0000, 0.0000, 0.0000)  4 Np 3.32, 4 Tm 3.32
Tm (0.2500, 0.2500, 0.2500)  4 Cs 3.32
Np (0.7500, 0.7500, 0.7500)  4 Cs 3.32

Properties
- SG: F-43m (216)

Bottom line: (1), by a margin of 10.7 kJ/mol of atoms.

(1)
Computed, not measured: a geometry-optimized CsPOsO structure at the GGA-PBE level of DFT.

a = 3.7228 Å, b = 7.2340 Å, c = 7.1343 Å
α = 90.00°, β = 90.00°, γ = 90.00°
Closest atoms and distances in Å follow each position.
Fractional coordinates of all 8 atoms:
Cs (0.0000, 0.1642, 0.0000)  2 O 2.98-2.99
Cs (0.0000, 0.8358, 0.5000)  2 O 2.98-2.99
P (0.5000, 0.4512, 0.7118)  2 Os 2.18-2.19
P (0.5000, 0.5488, 0.2118)  2 Os 2.18-2.19
Os (0.5000, 0.3357, 0.4283)  2 O 1.99, 2 P 2.18-2.19
Os (0.5000, 0.6643, 0.9283)  2 O 1.99, 2 P 2.18-2.19
O (0.0000, 0.2402, 0.4108)  2 Os 1.99
O (0.0000, 0.7598, 0.9108)  2 Os 1.99

Properties
- SG: Pmc2_1 (26)

(2)
Computed, not measured: a geometry-optimized CsPOsO structure at the GGA-PBE level of DFT.

a = 4.0373 Å, b = 4.0373 Å, c = 11.7011 Å
α = 90.00°, β = 90.00°, γ = 90.00°
Closest atoms and distances in Å follow each position.
Fractional coordinates of all 8 atoms:
Cs (0.2500, 0.2500, 0.1710)  4 O 2.84
Cs (0.7500, 0.7500, 0.8290)  4 O 2.84
P (0.2500, 0.2500, 0.5990)  4 Os 2.33
P (0.7500, 0.7500, 0.4010)  4 Os 2.33
Os (0.2500, 0.7500, 0.5000)  4 P 2.33
Os (0.7500, 0.2500, 0.5000)  4 P 2.33
O (0.2500, 0.7500, 0.0000)  4 Cs 2.84, 4 O 2.85
O (0.7500, 0.2500, 0.0000)  4 Cs 2.84, 4 O 2.85

Properties
- SG: P4/nmm (129)

Bottom line: (1), by a margin of 21.7 kJ/mol of atoms.